(1)
A geometry-optimized TbPmEr structure. Source: the Alexandria database, functional GGA-PBE.

abc: 3.573 3.573 8.730
angles: 90.00 90.00 120.00
Sites, in units of the cell vectors:
Tb 0.124 0.439 0.452
Pm 0.458 0.105 0.112
Er 0.791 0.772 0.778

Results
Its density of states at the Fermi level is 4.2 states/eV/f.u. Its symmetry is P3m1.

(2)
A geometry-optimized TbPmEr structure. Source: the Alexandria database, functional GGA-PBE.

abc: 3.679 6.091 8.876
angles: 90.00 101.96 90.00
Sites, in units of the cell vectors:
Tb 0.082 0.459 0.165
Tb 0.918 0.959 0.835
Pm 0.250 0.123 0.500
Pm 0.750 0.623 0.500
Er 0.416 0.459 0.833
Er 0.584 0.959 0.167

Results
Its density of states at the Fermi level is 4.4 states/eV/f.u. Its symmetry is Cmc2_1.

(3)
A geometry-optimized TbPmEr structure. Source: the Alexandria database, functional GGA-PBE.

abc: 3.492 5.641 5.641
angles: 120.00 90.00 90.00
Sites, in units of the cell vectors:
Pm 0.166 0.000 0.000
Tb 0.667 0.667 0.333
Er 0.168 0.333 0.667

Results
Its density of states at the Fermi level is 5.0 states/eV/f.u. Its symmetry is P3m1.

Name the most stable of them. (1).

(1)
A geometry-optimized TbPm8Er6 structure. Source: the Alexandria database, functional GGA-PBE.

abc: 9.076 9.076 8.697
angles: 58.55 58.55 60.00
Sites, in units of the cell vectors:
Tb 0.000 0.000 0.000
Pm 0.250 0.283 0.580
Pm 0.717 0.112 0.420
Pm 0.112 0.750 0.420
Pm 0.578 0.578 0.267
Pm 0.422 0.422 0.733
Pm 0.888 0.250 0.580
Pm 0.283 0.888 0.580
Pm 0.750 0.717 0.420
Er 0.461 0.902 0.884
Er 0.098 0.247 0.116
Er 0.247 0.539 0.116
Er 0.753 0.461 0.884
Er 0.902 0.753 0.884
Er 0.539 0.098 0.116

Results
Its density of states at the Fermi level is 22.8 states/eV/f.u. Its symmetry is R-3.

(2)
A geometry-optimized TbPm8Er6 structure. Source: the Alexandria database, functional GGA-PBE.

abc: 6.511 9.399 9.399
angles: 120.00 90.00 90.00
Sites, in units of the cell vectors:
Tb 0.500 0.000 0.000
Pm 0.832 0.038 0.286
Pm 0.832 0.714 0.751
Pm 0.832 0.249 0.962
Pm 0.168 0.962 0.714
Pm 0.168 0.286 0.249
Pm 0.168 0.751 0.038
Pm 0.877 0.333 0.667
Pm 0.123 0.667 0.333
Er 0.660 0.655 0.095
Er 0.660 0.905 0.560
Er 0.660 0.440 0.345
Er 0.340 0.345 0.905
Er 0.340 0.095 0.440
Er 0.340 0.560 0.655

Results
Its density of states at the Fermi level is 23.6 states/eV/f.u. Its symmetry is P-3.

Name the most stable of them. (1).

(1)
A geometry-optimized Tb12PmEr6 structure. Source: the Alexandria database, functional GGA-PBE.

abc: 9.254 9.254 9.254
angles: 109.47 109.47 109.47
Sites, in units of the cell vectors:
Tb 0.262 0.066 0.804
Tb 0.262 0.458 0.196
Tb 0.738 0.542 0.804
Tb 0.738 0.934 0.196
Tb 0.066 0.804 0.262
Tb 0.458 0.196 0.262
Tb 0.542 0.804 0.738
Tb 0.934 0.196 0.738
Tb 0.804 0.262 0.066
Tb 0.196 0.262 0.458
Tb 0.804 0.738 0.542
Tb 0.196 0.738 0.934
Pm 0.000 0.000 0.000
Er 0.358 0.500 0.858
Er 0.642 0.500 0.142
Er 0.500 0.858 0.358
Er 0.500 0.142 0.642
Er 0.858 0.358 0.500
Er 0.142 0.642 0.500

Results
Its density of states at the Fermi level is 20.7 states/eV/f.u. Its symmetry is Im-3.

(2)
A geometry-optimized Tb12PmEr6 structure. Source: the Alexandria database, functional GGA-PBE.

abc: 8.668 8.668 8.668
angles: 98.50 98.50 98.50
Sites, in units of the cell vectors:
Tb 0.758 0.242 0.500
Tb 0.356 0.083 0.356
Tb 0.356 0.356 0.083
Tb 0.917 0.644 0.644
Tb 0.644 0.644 0.917
Tb 0.644 0.917 0.644
Tb 0.500 0.758 0.242
Tb 0.242 0.500 0.758
Tb 0.242 0.758 0.500
Tb 0.500 0.242 0.758
Tb 0.758 0.500 0.242
Tb 0.083 0.356 0.356
Pm 0.000 0.000 0.000
Er 0.899 0.341 0.899
Er 0.899 0.899 0.341
Er 0.341 0.899 0.899
Er 0.101 0.101 0.659
Er 0.101 0.659 0.101
Er 0.659 0.101 0.101

Results
Its density of states at the Fermi level is 35.6 states/eV/f.u. Its symmetry is R-3m.

Name the most stable of them. (2).

(1)
A geometry-optimized Tb3Pm4Er5 structure. Source: the Alexandria database, functional GGA-PBE.

abc: 7.132 11.284 12.859
angles: 151.28 56.27 129.33
Sites, in units of the cell vectors:
Tb 0.580 0.163 0.332
Tb 0.000 0.000 0.500
Tb 0.420 0.837 0.668
Pm 0.917 0.835 0.667
Pm 0.831 0.663 0.832
Pm 0.169 0.337 0.168
Pm 0.083 0.165 0.333
Er 0.331 0.665 0.834
Er 0.500 0.000 0.500
Er 0.752 0.499 0.999
Er 0.248 0.501 0.001
Er 0.669 0.335 0.166

Results
Its density of states at the Fermi level is 15.1 states/eV/f.u. Its symmetry is P-1.

(2)
A geometry-optimized Tb3Pm4Er5 structure. Source: the Alexandria database, functional GGA-PBE.

abc: 5.913 8.543 9.660
angles: 105.55 72.18 69.75
Sites, in units of the cell vectors:
Tb 0.525 0.687 0.264
Tb 0.000 0.500 0.500
Tb 0.475 0.313 0.736
Pm 0.862 0.222 0.054
Pm 0.168 0.046 0.618
Pm 0.832 0.954 0.382
Pm 0.138 0.778 0.946
Er 0.629 0.942 0.800
Er 0.500 0.500 0.500
Er 0.213 0.458 0.116
Er 0.787 0.542 0.884
Er 0.371 0.058 0.200

Results
Its density of states at the Fermi level is 19.3 states/eV/f.u. Its symmetry is C2/m.

Name the most stable of them. (1).

(1)
A geometry-optimized Tb3Pm2Er4 structure. Source: the Alexandria database, functional GGA-PBE.

abc: 6.154 6.161 12.797
angles: 118.74 103.82 119.99
Sites, in units of the cell vectors:
Tb 0.558 0.113 0.668
Tb 0.000 0.000 0.000
Tb 0.442 0.887 0.332
Pm 0.775 0.553 0.332
Pm 0.225 0.447 0.668
Er 0.667 0.334 0.000
Er 0.333 0.666 0.000
Er 0.891 0.780 0.668
Er 0.109 0.220 0.332

Results
Its density of states at the Fermi level is 11.7 states/eV/f.u. Its symmetry is P-1.

(2)
A geometry-optimized Tb3Pm2Er4 structure. Source: the Alexandria database, functional GGA-PBE.

abc: 6.111 11.245 11.245
angles: 61.85 62.22 62.22
Sites, in units of the cell vectors:
Tb 0.769 0.067 0.262
Tb 0.731 0.738 0.933
Tb 0.231 0.933 0.738
Tb 0.269 0.262 0.067
Tb 0.250 0.597 0.403
Tb 0.750 0.403 0.597
Pm 0.424 0.233 0.520
Pm 0.076 0.480 0.767
Pm 0.576 0.767 0.480
Pm 0.924 0.520 0.233
Er 0.424 0.906 0.186
Er 0.076 0.814 0.094
Er 0.576 0.094 0.814
Er 0.924 0.186 0.906
Er 0.084 0.145 0.422
Er 0.416 0.578 0.855
Er 0.916 0.855 0.578
Er 0.584 0.422 0.145

Results
Its density of states at the Fermi level is 12.4 states/eV/f.u. Its symmetry is C2/c.

Name the most stable of them. (1).

(1)
A geometry-optimized TbPm2Er2 structure. Source: the Alexandria database, functional GGA-PBE.

abc: 3.580 3.579 14.985
angles: 96.84 83.14 59.99
Sites, in units of the cell vectors:
Tb 0.500 0.500 0.500
Pm 0.228 0.440 0.104
Pm 0.772 0.560 0.896
Er 0.637 0.029 0.696
Er 0.363 0.971 0.304

Results
Its density of states at the Fermi level is 6.6 states/eV/f.u. Its symmetry is C2/m.

(2)
A geometry-optimized TbPm2Er2 structure. Source: the Alexandria database, functional GGA-PBE.

abc: 3.531 5.751 8.668
angles: 109.39 90.00 90.00
Sites, in units of the cell vectors:
Tb 0.200 0.017 0.035
Pm 0.200 0.783 0.567
Pm 0.700 0.209 0.419
Er 0.200 0.401 0.802
Er 0.700 0.589 0.178

Results
Its density of states at the Fermi level is 8.6 states/eV/f.u. Its symmetry is Amm2.

Name the most stable of them. (1).